No. 1
## Pa4V6O19 (PBE with a Hubbard U)

Data for a relaxed Pa4V6O19 crystal.

Lattice parameters (Å, degrees): 7.7725 7.7725 7.7725 109.47 109.47 109.47
With the nearest neighbours (Å) after each atom.
Element x y z (fractional)
Pa1 0.0000 0.0000 0.3031  7 O 2.15-2.40
Pa2 0.0000 0.3031 0.0000  7 O 2.15-2.40
Pa3 0.3031 0.0000 0.0000  7 O 2.15-2.40
Pa4 0.6969 0.6969 0.6969  7 O 2.15-2.40
V1 0.1609 0.5000 0.6609  6 O 1.99-2.22
V2 0.3391 0.8391 0.5000  6 O 1.99-2.22
V3 0.5000 0.3391 0.8391  6 O 1.99-2.22
V4 0.5000 0.6609 0.1609  6 O 1.99-2.22
V5 0.6609 0.1609 0.5000  6 O 1.99-2.22
V6 0.8391 0.5000 0.3391  6 O 1.99-2.22
O1 0.0000 0.0000 0.0000  4 Pa 2.36
O2 0.0000 0.3120 0.3120  2 V 2.22, 2 Pa 2.40
O3 0.0000 0.6880 0.6880  2 V 2.22, 2 Pa 2.40
O4 0.0392 0.7737 0.3878  2 V 1.99-2.00, 1 Pa 2.15
O5 0.2263 0.2655 0.6142  2 V 1.99-2.00, 1 Pa 2.15
O6 0.2655 0.6142 0.2263  2 V 1.99-2.00, 1 Pa 2.15
O7 0.3120 0.0000 0.3120  2 V 2.22, 2 Pa 2.40
O8 0.3120 0.3120 0.0000  2 V 2.22, 2 Pa 2.40
O9 0.3486 0.7345 0.9608  2 V 1.99-2.00, 1 Pa 2.15
O10 0.3858 0.6514 0.6122  2 V 1.99-2.00, 1 Pa 2.15
O11 0.3878 0.0392 0.7737  2 V 1.99-2.00, 1 Pa 2.15
O12 0.6122 0.3858 0.6514  2 V 1.99-2.00, 1 Pa 2.15
O13 0.6142 0.2263 0.2655  2 V 1.99-2.00, 1 Pa 2.15
O14 0.6514 0.6122 0.3858  2 V 1.99-2.00, 1 Pa 2.15
O15 0.6880 0.0000 0.6880  2 V 2.22, 2 Pa 2.40
O16 0.6880 0.6880 0.0000  2 V 2.22, 2 Pa 2.40
O17 0.7345 0.9608 0.3486  2 V 1.99-2.00, 1 Pa 2.15
O18 0.7737 0.3878 0.0392  2 V 1.99-2.00, 1 Pa 2.15
O19 0.9608 0.3486 0.7345  2 V 1.99-2.00, 1 Pa 2.15

Energy ... -8.754 eV/atom
M_tot ... 12.000 μB per formula unit

---

No. 2
## PaV2O5 (PBE with a Hubbard U)

Data for a relaxed PaV2O5 crystal.

Lattice parameters (Å, degrees): 3.4362 12.3435 5.0735 90.00 90.00 90.00
With the nearest neighbours (Å) after each atom.
Element x y z (fractional)
Pa1 0.2500 0.2500 0.1277  8 O 2.30-2.53
Pa2 0.7500 0.7500 0.8723  8 O 2.30-2.53
V1 0.2500 0.5935 0.4073  5 O 1.98-2.12
V2 0.2500 0.9065 0.4073  5 O 1.98-2.12
V3 0.7500 0.0935 0.5927  5 O 1.98-2.12
V4 0.7500 0.4065 0.5927  5 O 1.98-2.12
O1 0.2500 0.0786 0.4013  3 V 1.98-2.12
O2 0.2500 0.4214 0.4013  3 V 1.98-2.12
O3 0.2500 0.6460 0.0386  1 V 1.98
O4 0.2500 0.7500 0.5659  2 V 2.09, 2 Pa 2.32
O5 0.2500 0.8540 0.0386  1 V 1.98
O6 0.7500 0.1460 0.9614  1 V 1.98
O7 0.7500 0.2500 0.4341  2 V 2.09, 2 Pa 2.32
O8 0.7500 0.3540 0.9614  1 V 1.98
O9 0.7500 0.5786 0.5987  3 V 1.98-2.12
O10 0.7500 0.9214 0.5987  3 V 1.98-2.12

Energy ... -8.620 eV/atom
M_tot ... 5.019 μB per formula unit

---

No. 3
## PaVO4 (PBE with a Hubbard U)

Data for a relaxed PaVO4 crystal.

Lattice parameters (Å, degrees): 6.7121 6.7879 3.5053 90.00 90.00 90.00
With the nearest neighbours (Å) after each atom.
Element x y z (fractional)
Pa1 0.0000 0.0000 0.0000  6 O 2.12-2.22
Pa2 0.5000 0.5000 0.0000  6 O 2.12-2.22
V1 0.0000 0.5000 0.5000  6 O 2.00-2.17
V2 0.5000 0.0000 0.5000  6 O 2.00-2.17
O1 0.0000 0.3125 0.0000  1 Pa 2.12, 2 V 2.17
O2 0.0000 0.6875 0.0000  1 Pa 2.12, 2 V 2.17
O3 0.2021 0.0000 0.5000  1 V 2.00, 2 Pa 2.22
O4 0.2979 0.5000 0.5000  1 V 2.00, 2 Pa 2.22
O5 0.5000 0.1875 0.0000  1 Pa 2.12, 2 V 2.17
O6 0.5000 0.8125 0.0000  1 Pa 2.12, 2 V 2.17
O7 0.7021 0.5000 0.5000  1 V 2.00, 2 Pa 2.22
O8 0.7979 0.0000 0.5000  1 V 2.00, 2 Pa 2.22

Energy ... -9.028 eV/atom
M_tot ... 2.000 μB per formula unit

---

No. 4
## Pa2VO7 (PBE with a Hubbard U)

Data for a relaxed Pa2VO7 crystal.

Lattice parameters (Å, degrees): 3.8336 3.9200 9.9711 100.65 90.06 119.22
With the nearest neighbours (Å) after each atom.
Element x y z (fractional)
Pa1 0.0000 0.0000 0.0000  7 O 2.14-2.37
Pa2 0.1500 0.3010 0.4319  4 O 2.07-2.26
V1 0.5148 0.0315 0.7150  5 O 1.86-2.08
O1 0.0738 0.1480 0.2194  2 Pa 2.07-2.14
O2 0.2378 0.4752 0.6631  1 V 1.86
O3 0.3456 0.6913 0.0406  3 Pa 2.26-2.31
O4 0.5110 0.0228 0.5233  1 V 1.91
O5 0.6334 0.2673 0.9130  1 V 1.97
O6 0.8025 0.6060 0.3952  3 Pa 2.25-2.33
O7 0.9462 0.8927 0.7719  2 V 2.08, 1 Pa 2.23

Energy ... -9.084 eV/atom
M_tot ... 0.999 μB per formula unit

---

No. 5
## PaV2O6 (PBE with a Hubbard U)

Data for a relaxed PaV2O6 crystal.

Lattice parameters (Å, degrees): 5.1432 5.1432 4.8301 90.08 90.08 121.39
With the nearest neighbours (Å) after each atom.
Element x y z (fractional)
Pa1 0.0000 0.0000 0.0000  6 O 2.20-2.21
V1 0.3331 0.6669 0.5000  6 O 1.96-2.03
V2 0.6669 0.3331 0.5000  6 O 1.96-2.03
O1 0.0050 0.3477 0.2723  2 V 1.96-2.03
O2 0.3477 0.0050 0.2723  2 V 1.96-2.03
O3 0.3479 0.3479 0.7260  2 V 2.01, 1 Pa 2.20
O4 0.6521 0.6521 0.2740  2 V 2.01, 1 Pa 2.20
O5 0.6523 0.9950 0.7277  2 V 1.96-2.03
O6 0.9950 0.6523 0.7277  2 V 1.96-2.03

Energy ... -8.634 eV/atom
M_tot ... 3.000 μB per formula unit

---

No. 6
## PaVO6 (PBE with a Hubbard U)

Data for a relaxed PaVO6 crystal.

Lattice parameters (Å, degrees): 5.6977 5.6977 5.6977 60.00 60.00 60.00
With the nearest neighbours (Å) after each atom.
Element x y z (fractional)
Pa1 0.0000 0.0000 0.0000  6 O 2.16
V1 0.5000 0.5000 0.5000  6 O 1.87
O1 0.2676 0.2676 0.7324  1 V 1.87
O2 0.2676 0.7324 0.2676  1 V 1.87
O3 0.2676 0.7324 0.7324  1 V 1.87
O4 0.7324 0.2676 0.2676  1 V 1.87
O5 0.7324 0.2676 0.7324  1 V 1.87
O6 0.7324 0.7324 0.2676  1 V 1.87

Energy ... -7.880 eV/atom
M_tot ... 2.055 μB per formula unit